Entry 1:
AsAu at its PBEsol-relaxed geometry, computed with SCAN.

Properties
* D(E_F): 1.5 states/eV per cell
* formation enthalpy at 0 K: 0.25 eV/atom

a b c (Å): 2.9292 2.9292 9.6324
angles (deg): 90.00 90.00 120.00
Space group P-3m1 (No. 164)
One atom of each set of equivalent atoms:
As1 0.3333 0.6667 0.1443 x2
Au1 0.3333 0.6667 0.6228 x2



Entry 2:
AsAu at its PBEsol-relaxed geometry, computed with SCAN.

Properties
* D(E_F): 1.0 states/eV per cell
* formation enthalpy at 0 K: 0.29 eV/atom

a b c (Å): 3.2910 3.2910 3.2910
angles (deg): 90.00 90.00 90.00
Space group Pm-3m (No. 221)
One atom of each set of equivalent atoms:
As1 0.0000 0.0000 0.0000 x1
Au1 0.5000 0.5000 0.5000 x1



Entry 3:
AsAu at its PBEsol-relaxed geometry, computed with SCAN.

Properties
* D(E_F): 4.2 states/eV per cell
* formation enthalpy at 0 K: 0.01 eV/atom

a b c (Å): 5.3345 5.3345 5.3345
angles (deg): 90.00 90.00 90.00
Space group Fm-3m (No. 225)
One atom of each set of equivalent atoms:
As1 0.0000 0.0000 0.0000 x4
Au1 0.0000 0.0000 0.5000 x4



Entry 4:
AsAu at its PBEsol-relaxed geometry, computed with SCAN.

Properties
* D(E_F): 3.9 states/eV per cell
* formation enthalpy at 0 K: 0.13 eV/atom

a b c (Å): 10.8606 2.8067 8.8798
angles (deg): 90.00 124.27 90.00
Space group Cm (No. 8)
One atom of each set of equivalent atoms:
As1 0.0000 0.0000 0.0000 x2
As2 0.0949 0.0000 0.6500 x2
As3 0.3073 0.0000 0.6156 x2
Au1 0.1605 0.5000 0.3062 x2
Au2 0.2454 0.5000 0.9854 x2
Au3 0.4106 0.0000 0.3264 x2



Entry 5:
AsAu7 at its PBEsol-relaxed geometry, computed with SCAN.

Properties
* D(E_F): 16.1 states/eV per cell
* formation enthalpy at 0 K: 0.09 eV/atom

a b c (Å): 8.1934 8.1934 8.1934
angles (deg): 90.00 90.00 90.00
Space group Fm-3m (No. 225)
One atom of each set of equivalent atoms:
As1 0.0000 0.0000 0.0000 x4
Au1 0.0000 0.0000 0.5000 x4
Au2 0.0000 0.2500 0.2500 x24



Entry 6:
AsAu at its PBEsol-relaxed geometry, computed with SCAN.

Properties
* D(E_F): 0.7 states/eV per cell
* formation enthalpy at 0 K: 0.30 eV/atom

a b c (Å): 2.9009 2.9009 4.8810
angles (deg): 90.00 90.00 120.00
Space group P-6m2 (No. 187)
One atom of each set of equivalent atoms:
As1 0.0000 0.0000 0.0000 x1
Au1 0.3333 0.6667 0.5000 x1



Entry 7:
AsAu2 at its PBEsol-relaxed geometry, computed with SCAN.

Properties
* D(E_F): 1.8 states/eV per cell
* formation enthalpy at 0 K: 0.01 eV/atom

a b c (Å): 3.8471 3.8471 8.8983
angles (deg): 90.00 90.00 120.00
Space group P6_3/mmc (No. 194)
One atom of each set of equivalent atoms:
As1 0.0000 0.0000 0.2500 x2
Au1 0.3333 0.6667 0.0876 x4



Entry 8:
AsAu2 at its PBEsol-relaxed geometry, computed with SCAN.

Properties
* D(E_F): 1.0 states/eV per cell
* formation enthalpy at 0 K: 0.07 eV/atom

a b c (Å): 4.7607 4.7607 2.8025
angles (deg): 90.00 90.00 120.00
Space group P6/mmm (No. 191)
One atom of each set of equivalent atoms:
As1 0.0000 0.0000 0.0000 x1
Au1 0.3333 0.6667 0.0000 x2



Entry 9:
As3Au at its PBEsol-relaxed geometry, computed with SCAN.

Properties
* D(E_F): 1.8 states/eV per cell
* formation enthalpy at 0 K: 0.43 eV/atom
* excess energy over the best structure of this formula in the dataset: 0.0753 eV/atom

a b c (Å): 2.8763 4.3511 5.9225
angles (deg): 90.00 90.00 90.00
Space group Pmmm (No. 47)
One atom of each set of equivalent atoms:
As1 0.0000 0.0000 0.0000 x1
As2 0.5000 0.5000 0.2771 x2
Au1 0.0000 0.0000 0.5000 x1



Entry 10:
As5Au at its PBEsol-relaxed geometry, computed with SCAN.

Properties
* D(E_F): 3.7 states/eV per cell
* formation enthalpy at 0 K: 0.56 eV/atom

a b c (Å): 5.1585 5.1585 5.2181
angles (deg): 90.00 90.00 120.00
Space group P6/mmm (No. 191)
One atom of each set of equivalent atoms:
As1 0.0000 0.5000 0.0000 x3
As2 0.3333 0.6667 0.5000 x2
Au1 0.0000 0.0000 0.5000 x1



Entry 11:
BSbAsAu2 at its PBEsol-relaxed geometry, computed with SCAN.

Properties
* E: -39.30 eV per atom
* D(E_F): 3.8 states/eV per cell

a b c (Å): 5.1589 5.1589 4.2958
angles (deg): 90.00 90.00 90.00
Space group P4/mmm (No. 123)
One atom of each set of equivalent atoms:
B1 0.0000 0.0000 0.0000 x1
Sb1 0.0000 0.0000 0.5000 x1
As1 0.5000 0.5000 0.0000 x1
Au1 0.0000 0.5000 0.5000 x2



Entry 12:
BaAs2Au at its PBEsol-relaxed geometry, computed with SCAN.

Properties
* D(E_F): 1.1 states/eV per cell
* formation enthalpy at 0 K: -0.38 eV/atom

a b c (Å): 3.6613 3.6613 7.1027
angles (deg): 90.00 90.00 90.00
Space group P4mm (No. 99)
One atom of each set of equivalent atoms:
Ba1 0.0000 0.0000 0.0000 x1
As1 0.0000 0.0000 0.4837 x1
As2 0.5000 0.5000 0.3407 x1
Au1 0.5000 0.5000 0.7184 x1



Entry 13:
BaAs2Au at its PBEsol-relaxed geometry, computed with SCAN.

Properties
* D(E_F): 5.0 states/eV per cell
* formation enthalpy at 0 K: -0.15 eV/atom

a b c (Å): 4.6072 4.6072 8.9614
angles (deg): 90.00 90.00 90.00
Space group I-4m2 (No. 119)
One atom of each set of equivalent atoms:
Ba1 0.0000 0.0000 0.0000 x2
As1 0.0000 0.0000 0.5000 x2
As2 0.0000 0.5000 0.2500 x2
Au1 0.0000 0.5000 0.7500 x2



Entry 14:
Be2AsAu2 at its PBEsol-relaxed geometry, computed with SCAN.

Properties
* D(E_F): 3.5 states/eV per cell
* formation enthalpy at 0 K: 0.01 eV/atom

a b c (Å): 7.1708 7.1708 2.7530
angles (deg): 90.00 90.00 90.00
Space group P4/mbm (No. 127)
One atom of each set of equivalent atoms:
Be1 0.1488 0.3512 0.0000 x4
As1 0.0000 0.0000 0.0000 x2
Au1 0.1435 0.6435 0.5000 x4



Entry 15:
BeAs2Au at its PBEsol-relaxed geometry, computed with SCAN.

Properties
* D(E_F): 1.4 states/eV per cell
* formation enthalpy at 0 K: 0.34 eV/atom

a b c (Å): 2.7106 3.3009 7.1542
angles (deg): 90.00 90.00 90.00
Space group Pmmm (No. 47)
One atom of each set of equivalent atoms:
Be1 0.0000 0.0000 0.0000 x1
As1 0.5000 0.5000 0.2043 x2
Au1 0.0000 0.0000 0.5000 x1



Entry 16:
BeAs3Au at its PBEsol-relaxed geometry, computed with SCAN.

Properties
* D(E_F): 2.8 states/eV per cell
* formation enthalpy at 0 K: 0.60 eV/atom

a b c (Å): 4.4312 4.4312 4.4312
angles (deg): 90.00 90.00 90.00
Space group Pm-3m (No. 221)
One atom of each set of equivalent atoms:
Be1 0.0000 0.0000 0.0000 x1
As1 0.0000 0.0000 0.5000 x3
Au1 0.5000 0.5000 0.5000 x1



Entry 17:
BeAs2Au at its PBEsol-relaxed geometry, computed with SCAN.

Properties
* D(E_F): 2.5 states/eV per cell
* formation enthalpy at 0 K: 0.34 eV/atom

a b c (Å): 5.1676 7.0939 3.6056
angles (deg): 90.00 90.00 90.00
Space group Cmmm (No. 65)
One atom of each set of equivalent atoms:
Be1 0.0000 0.0000 0.0000 x2
As1 0.2500 0.2500 0.5000 x4
Au1 0.0000 0.5000 0.0000 x2



Entry 18:
BeAs2Au at its PBEsol-relaxed geometry, computed with SCAN.

Properties
* D(E_F): 2.7 states/eV per cell
* formation enthalpy at 0 K: 0.35 eV/atom

a b c (Å): 3.5867 4.5206 7.9488
angles (deg): 90.00 90.00 90.00
Space group Cmmm (No. 65)
One atom of each set of equivalent atoms:
Be1 0.0000 0.0000 0.0000 x2
As1 0.0000 0.5000 0.1942 x4
Au1 0.0000 0.0000 0.5000 x2



Entry 19:
BeAs2Au at its PBEsol-relaxed geometry, computed with SCAN.

Properties
* D(E_F): 2.9 states/eV per cell
* formation enthalpy at 0 K: 0.07 eV/atom

a b c (Å): 3.0432 3.9143 11.1949
angles (deg): 90.00 90.00 90.00
Space group Immm (No. 71)
One atom of each set of equivalent atoms:
Be1 0.0000 0.0000 0.0000 x2
As1 0.0000 0.5000 0.3351 x4
Au1 0.0000 0.0000 0.5000 x2



Entry 20:
BeAs2Au at its PBEsol-relaxed geometry, computed with SCAN.

Properties
* D(E_F): 1.3 states/eV per cell
* formation enthalpy at 0 K: 0.15 eV/atom

a b c (Å): 4.2800 3.6018 4.5575
angles (deg): 90.00 104.75 90.00
Space group P2/m (No. 10)
One atom of each set of equivalent atoms:
Be1 0.0000 0.0000 0.0000 x1
As1 0.2494 0.5000 0.7961 x2
Au1 0.5000 0.0000 0.5000 x1



Entry 21:
BeAsAu2 at its PBEsol-relaxed geometry, computed with SCAN.

Properties
* D(E_F): 3.3 states/eV per cell
* formation enthalpy at 0 K: 0.21 eV/atom
* excess energy over the best structure of this formula in the dataset: 0.0000 eV/atom

a b c (Å): 3.9613 3.9613 7.9738
angles (deg): 90.00 90.00 90.00
Space group I4/mmm (No. 139)
One atom of each set of equivalent atoms:
Be1 0.0000 0.0000 0.0000 x2
As1 0.0000 0.0000 0.5000 x2
Au1 0.0000 0.5000 0.2500 x4



Entry 22:
BeAs2Au at its PBEsol-relaxed geometry, computed with SCAN.

Properties
* D(E_F): 8.0 states/eV per cell
* formation enthalpy at 0 K: 0.50 eV/atom

a b c (Å): 6.3840 6.3840 6.3840
angles (deg): 90.00 90.00 90.00
Space group F-43m (No. 216)
One atom of each set of equivalent atoms:
Be1 0.0000 0.0000 0.0000 x4
As1 0.0000 0.0000 0.5000 x4
As2 0.2500 0.2500 0.2500 x4
Au1 0.2500 0.2500 0.7500 x4



Entry 23:
BeAsAu2 at its PBEsol-relaxed geometry, computed with SCAN.

Properties
* D(E_F): 12.0 states/eV per cell
* formation enthalpy at 0 K: 0.37 eV/atom
* excess energy over the best structure of this formula in the dataset: 0.1528 eV/atom

a b c (Å): 6.3577 6.3577 6.3577
angles (deg): 90.00 90.00 90.00
Space group F-43m (No. 216)
One atom of each set of equivalent atoms:
Be1 0.0000 0.0000 0.0000 x4
As1 0.2500 0.2500 0.7500 x4
Au1 0.0000 0.0000 0.5000 x4
Au2 0.2500 0.2500 0.2500 x4



Entry 24:
BiAsAuBr2 at its PBEsol-relaxed geometry, computed with SCAN.

Properties
* E: -40.99 eV per atom
* D(E_F): 2.8 states/eV per cell

a b c (Å): 5.0708 5.0708 5.1619
angles (deg): 90.00 90.00 90.00
Space group P4/mmm (No. 123)
One atom of each set of equivalent atoms:
Bi1 0.0000 0.0000 0.0000 x1
As1 0.5000 0.5000 0.0000 x1
Au1 0.5000 0.5000 0.5000 x1
Br1 0.0000 0.5000 0.5000 x2



Entry 25:
BiAs2AuI at its PBEsol-relaxed geometry, computed with SCAN.

Properties
* E: -43.77 eV per atom
* D(E_F): 3.0 states/eV per cell

a b c (Å): 5.4170 5.4170 5.9380
angles (deg): 90.00 90.00 90.00
Space group P4/mmm (No. 123)
One atom of each set of equivalent atoms:
Bi1 0.0000 0.0000 0.0000 x1
As1 0.0000 0.5000 0.0000 x2
Au1 0.5000 0.5000 0.5000 x1
I1 0.0000 0.0000 0.5000 x1



Entry 26:
As2AuBr at its PBEsol-relaxed geometry, computed with SCAN.

Properties
* E: -31.89 eV per atom
* D(E_F): 1.3 states/eV per cell

a b c (Å): 3.2135 3.2135 7.6697
angles (deg): 90.00 90.00 90.00
Space group P4/mmm (No. 123)
One atom of each set of equivalent atoms:
As1 0.0000 0.0000 0.2156 x2
Au1 0.5000 0.5000 0.0000 x1
Br1 0.5000 0.5000 0.5000 x1



Entry 27:
CaAs2AuBr at its PBEsol-relaxed geometry, computed with SCAN.

Properties
* E: -27.09 eV per atom
* D(E_F): 3.5 states/eV per cell

a b c (Å): 5.3833 5.3833 5.1693
angles (deg): 90.00 90.00 90.00
Space group P4/mmm (No. 123)
One atom of each set of equivalent atoms:
Ca1 0.0000 0.0000 0.0000 x1
As1 0.0000 0.5000 0.0000 x2
Au1 0.5000 0.5000 0.5000 x1
Br1 0.0000 0.0000 0.5000 x1



Entry 28:
CuAs2AuBr at its PBEsol-relaxed geometry, computed with SCAN.

Properties
* D(E_F): 1.9 states/eV per cell
* excess energy over the best structure of this formula in the dataset: 0.2806 eV/atom

a b c (Å): 4.9515 4.9515 5.2165
angles (deg): 90.00 90.00 90.00
Space group P4/mmm (No. 123)
One atom of each set of equivalent atoms:
Cu1 0.0000 0.0000 0.0000 x1
As1 0.0000 0.5000 0.5000 x2
Au1 0.5000 0.5000 0.5000 x1
Br1 0.5000 0.5000 0.0000 x1



Entry 29:
CuAs2AuBr at its PBEsol-relaxed geometry, computed with SCAN.

Properties
* D(E_F): 4.0 states/eV per cell
* excess energy over the best structure of this formula in the dataset: 0.0000 eV/atom

a b c (Å): 4.9332 4.9332 4.8408
angles (deg): 90.00 90.00 90.00
Space group P4/mmm (No. 123)
One atom of each set of equivalent atoms:
Cu1 0.0000 0.0000 0.0000 x1
As1 0.0000 0.5000 0.5000 x2
Au1 0.0000 0.0000 0.5000 x1
Br1 0.5000 0.5000 0.0000 x1



Entry 30:
AsAuBr2F at its PBEsol-relaxed geometry, computed with SCAN.

Properties
* D(E_F): 1.4 states/eV per cell
* excess energy over the best structure of this formula in the dataset: 0.0000 eV/atom

a b c (Å): 5.3902 5.3902 3.7840
angles (deg): 90.00 90.00 90.00
Space group P4/mmm (No. 123)
One atom of each set of equivalent atoms:
As1 0.0000 0.0000 0.0000 x1
Au1 0.5000 0.5000 0.0000 x1
Br1 0.0000 0.5000 0.5000 x2
F1 0.0000 0.0000 0.5000 x1